## LaTm6Th2 (PBE-GGA)

Data for crystalline LaTm6Th2 at its relaxed geometry.

The structure in POSCAR format:
```
LaTm6Th2
1.0
-0.139 1.619 -3.153
0.456 -3.513 0.171
-26.027 -3.408 -0.604
La Tm Th
1 6 2
Cartesian
0.258 -1.803 -0.937
-22.985 -3.109 -2.580
-5.445 -2.549 -1.069
-2.923 -0.482 -2.114
-20.067 -4.464 -1.409
-14.380 -3.719 -1.277
-11.131 -3.294 -1.202
-8.555 -1.220 -2.245
-17.353 -2.372 -2.449
```

Properties
Formation energy: 0.084 eV/atom
Total magnetic moment: 0.00 μB/f.u.
ρ: 9.4 g cm⁻³
Space group: P-6m2 (187)